1.
VASP calculation (PBE-GGA) on an optimized crystal structure of CeInNi.

Cell: 3.534 4.618 4.618 Å, 120.00 90.00 90.00°
Site moments in Bohr magnetons follow the coordinates.
Atoms (fractional coordinates):
Ni 0.167 0.333 0.667  0.05
Ce 0.667 0.667 0.333  -0.27
In 0.167 0.000 0.000  0.00

Summary:
**Uncorrected energy**: -15.360 eV/cell
**Density**: 8.0 g/cm3
**Calculated formation energy**: -0.30 eV per atom

=====

2.
VASP calculation (PBE-GGA) on an optimized crystal structure of Na3Pm3BiO8.

Cell: 7.093 7.093 6.968 Å, 120.60 90.00 120.00°
Atoms (fractional coordinates):
Na 0.000 0.000 0.000
Na 0.000 0.500 0.000
Na 0.500 0.500 0.000
Pm 0.500 0.000 0.500
Pm 0.500 0.500 0.500
Pm 0.000 0.500 0.500
Bi 0.000 0.000 0.500
O 0.263 0.527 0.290
O 0.737 0.473 0.710
O 0.771 0.543 0.291
O 0.229 0.457 0.709
O 0.771 0.020 0.291
O 0.229 0.980 0.709
O 0.248 0.020 0.291
O 0.752 0.980 0.709

Summary:
**Formation energy (no corrections)**: -2.316 eV/atom
**Uncorrected energy**: -96.489 eV/cell
**Density**: 5.7 g/cm3

=====

uncorrected energy of number 1 (CeInNi)? -15.360 eV/cell

=====

density of number 1 (CeInNi)? 8.0 g/cm3